Record 1
# KBeSi2, optimized geometry, DFT PBE-GGA
data_KBeSi2
_cell_length_a 3.546
_cell_length_b 3.703
_cell_length_c 6.812
_cell_angle_alpha 90.00
_cell_angle_beta 90.00
_cell_angle_gamma 90.00
_symmetry_space_group_name_H-M 'P 1'
_symmetry_Int_Tables_number 1
loop_
_symmetry_equiv_pos_as_xyz
'x,y,z'
loop_
_atom_site_label
_atom_site_fract_x
_atom_site_fract_y
_atom_site_fract_z
_atom_site_occupancy
Si1 0.000 0.125 0.101 1
Si2 0.500 0.125 0.340 1
Be1 0.000 0.625 0.284 1
K1 0.500 0.625 0.775 1
# SG: Pmm2 (25)
# formation energy without anion corrections: 0.247 eV per atom

=====

Record 2
# LiLaBe, optimized geometry, DFT PBE-GGA
data_LiLaBe
_cell_length_a 5.254
_cell_length_b 5.254
_cell_length_c 5.254
_cell_angle_alpha 144.56
_cell_angle_beta 130.73
_cell_angle_gamma 62.15
_symmetry_space_group_name_H-M 'P 1'
_symmetry_Int_Tables_number 1
loop_
_symmetry_equiv_pos_as_xyz
'x,y,z'
loop_
_atom_site_label
_atom_site_fract_x
_atom_site_fract_y
_atom_site_fract_z
_atom_site_occupancy
Be1 0.000 0.000 0.000 1
La1 0.656 0.656 0.000 1
Li1 0.344 0.344 0.000 1
# SG: Imm2 (44)
# energy of formation from the pure elements: 31.8 kJ/mol of atoms

=====

Record 3
# NbV3Ru, optimized geometry, DFT PBE-GGA
data_NbV3Ru
_cell_length_a 4.498
_cell_length_b 4.498
_cell_length_c 4.498
_cell_angle_alpha 90.00
_cell_angle_beta 90.00
_cell_angle_gamma 90.00
_symmetry_space_group_name_H-M 'P 1'
_symmetry_Int_Tables_number 1
loop_
_symmetry_equiv_pos_as_xyz
'x,y,z'
loop_
_atom_site_label
_atom_site_fract_x
_atom_site_fract_y
_atom_site_fract_z
_atom_site_occupancy
V1 0.000 0.500 0.000 1
V2 0.000 0.000 0.500 1
V3 0.500 0.000 0.000 1
Nb1 0.000 0.000 0.000 1
Ru1 0.500 0.500 0.500 1
# SG: Pm-3m (221)
# energy of formation from the pure elements: 158.6 kJ/mol of atoms

=====

Record 4
# Sr2OsO5, optimized geometry, DFT PBE-GGA
data_Sr2OsO5
_cell_length_a 5.501
_cell_length_b 7.304
_cell_length_c 11.183
_cell_angle_alpha 90.00
_cell_angle_beta 90.00
_cell_angle_gamma 90.00
_symmetry_space_group_name_H-M 'P 1'
_symmetry_Int_Tables_number 1
loop_
_symmetry_equiv_pos_as_xyz
'x,y,z'
loop_
_atom_site_label
_atom_site_fract_x
_atom_site_fract_y
_atom_site_fract_z
_atom_site_occupancy
O1 0.503 0.164 0.609 1
O2 0.250 0.045 0.206 1
O3 0.003 0.336 0.109 1
O4 0.503 0.664 0.891 1
O5 0.250 0.782 0.605 1
O6 0.750 0.718 0.105 1
O7 0.997 0.164 0.609 1
O8 0.750 0.955 0.794 1
O9 0.750 0.455 0.706 1
O10 0.003 0.836 0.391 1
O11 0.250 0.545 0.294 1
O12 0.500 0.500 0.500 1
O13 0.497 0.836 0.391 1
O14 0.500 0.000 0.000 1
O15 0.997 0.664 0.891 1
O16 0.000 0.500 0.500 1
O17 0.750 0.218 0.395 1
O18 0.000 0.000 0.000 1
O19 0.497 0.336 0.109 1
O20 0.250 0.282 0.895 1
Os1 0.750 0.826 0.941 1
Os2 0.250 0.674 0.441 1
Os3 0.250 0.174 0.059 1
Os4 0.750 0.326 0.559 1
Sr1 0.750 0.512 0.280 1
Sr2 0.250 0.988 0.780 1
Sr3 0.750 0.846 0.581 1
Sr4 0.750 0.012 0.220 1
Sr5 0.750 0.346 0.919 1
Sr6 0.250 0.488 0.720 1
Sr7 0.250 0.654 0.081 1
Sr8 0.250 0.154 0.419 1
# SG: Pnma (62)
# formation energy without anion corrections: -2.029 eV per atom

=====

Record 5
# CuHg4, optimized geometry, DFT PBE-GGA
data_CuHg4
_cell_length_a 8.846
_cell_length_b 8.846
_cell_length_c 8.846
_cell_angle_alpha 153.84
_cell_angle_beta 153.84
_cell_angle_gamma 37.33
_symmetry_space_group_name_H-M 'P 1'
_symmetry_Int_Tables_number 1
loop_
_symmetry_equiv_pos_as_xyz
'x,y,z'
loop_
_atom_site_label
_atom_site_fract_x
_atom_site_fract_y
_atom_site_fract_z
_atom_site_occupancy
Hg1 0.750 0.250 0.500 1
Hg2 0.250 0.750 0.500 1
Hg3 0.413 0.413 0.000 1
Hg4 0.587 0.587 0.000 1
Cu1 0.000 0.000 0.000 1
# SG: I4/mmm (139)
# energy of formation from the pure elements: 34.6 kJ/mol of atoms

=====

Record 6
# SmGdMgPb, optimized geometry, DFT PBE-GGA
data_SmGdMgPb
_cell_length_a 5.431
_cell_length_b 5.431
_cell_length_c 5.431
_cell_angle_alpha 60.00
_cell_angle_beta 60.00
_cell_angle_gamma 60.00
_symmetry_space_group_name_H-M 'P 1'
_symmetry_Int_Tables_number 1
loop_
_symmetry_equiv_pos_as_xyz
'x,y,z'
loop_
_atom_site_label
_atom_site_fract_x
_atom_site_fract_y
_atom_site_fract_z
_atom_site_occupancy
Mg1 0.000 0.000 0.000 1
Pb1 0.500 0.500 0.500 1
Sm1 0.750 0.750 0.750 1
Gd1 0.250 0.250 0.250 1
# SG: F-43m (216)
# energy of formation from the pure elements: -30.2 kJ/mol of atoms

=====

Record 7
# CaErTeS, optimized geometry, DFT PBE-GGA
data_CaErTeS
_cell_length_a 4.032
_cell_length_b 4.033
_cell_length_c 7.824
_cell_angle_alpha 90.00
_cell_angle_beta 104.94
_cell_angle_gamma 120.01
_symmetry_space_group_name_H-M 'P 1'
_symmetry_Int_Tables_number 1
loop_
_symmetry_equiv_pos_as_xyz
'x,y,z'
loop_
_atom_site_label
_atom_site_fract_x
_atom_site_fract_y
_atom_site_fract_z
_atom_site_occupancy
Te1 0.129 0.962 0.106 1
S1 0.479 0.137 0.632 1
Er1 0.291 0.543 0.849 1
Ca1 0.979 0.388 0.382 1
# SG: R3m (160)
# formation energy without anion corrections: -1.552 eV per atom

=====

Record 8
# SrAcGePd, optimized geometry, DFT PBE-GGA
data_SrAcGePd
_cell_length_a 5.409
_cell_length_b 5.409
_cell_length_c 5.409
_cell_angle_alpha 60.00
_cell_angle_beta 60.00
_cell_angle_gamma 60.00
_symmetry_space_group_name_H-M 'P 1'
_symmetry_Int_Tables_number 1
loop_
_symmetry_equiv_pos_as_xyz
'x,y,z'
loop_
_atom_site_label
_atom_site_fract_x
_atom_site_fract_y
_atom_site_fract_z
_atom_site_occupancy
Sr1 0.500 0.500 0.500 1
Ac1 0.000 0.000 0.000 1
Pd1 0.750 0.750 0.750 1
Ge1 0.250 0.250 0.250 1
# SG: F-43m (216)
# energy of formation from the pure elements: -57.1 kJ/mol of atoms

=====

Total moment for every record listed, in sequence, given in μB/atom: 0.00 0.00 0.29 0.18 0.00 1.88 0.00 0.00.
Raw total energy for every record listed, in sequence, given in eV/cell: -14.68 -9.58 -38.48 -222.47 -3.51 -25.35 -20.04 -17.97.